No. 1
First-principles (GGA-PBE) data for crystalline ReTeBr2 at its relaxed geometry, as listed in Alexandria.

Computed properties:
E above lowest polymorph	978	meV/atom
SG	No. 47
calculated density	8.54	g cm⁻³
E_form (uncorrected)	1.128	eV per atom

Cell lengths 3.2247, 5.8272, 4.9015 Å; angles 90.00, 90.00, 90.00 degrees
Site moments in Bohr magnetons follow the coordinates.
Sites, in units of the cell vectors:
Br: 0.5000 0.5000 0.0000  0.04
Br: 0.0000 0.0000 0.0000  0.02
Te: 0.0000 0.5000 0.5000  -0.03
Re: 0.5000 0.0000 0.5000  2.38


No. 2
First-principles (GGA-PBE) data for crystalline ScFe4B4 at its relaxed geometry, as listed in Alexandria.

Computed properties:
E above lowest polymorph	0	meV/atom
SG	No. 86
calculated density	5.83	g cm⁻³

Cell lengths 3.8540, 6.7864, 6.7864 Å; angles 90.00, 90.00, 90.00 degrees
Site moments in Bohr magnetons follow the coordinates.
Sites, in units of the cell vectors:
Fe: 0.6134 0.1206 0.3695  0.29
Fe: 0.8866 0.6206 0.8695  0.29
Fe: 0.8866 0.3794 0.1305  0.29
Fe: 0.3866 0.6305 0.1206  0.29
Fe: 0.3866 0.3695 0.8794  0.29
Fe: 0.6134 0.8794 0.6305  0.29
Fe: 0.1134 0.8695 0.3794  0.29
Fe: 0.1134 0.1305 0.6206  0.29
B: 0.3904 0.3090 0.1713  -0.02
B: 0.1096 0.1910 0.3287  -0.02
B: 0.6096 0.1713 0.6910  -0.02
B: 0.8904 0.6713 0.1910  -0.02
B: 0.1096 0.8090 0.6713  -0.02
B: 0.3904 0.6910 0.8287  -0.02
B: 0.6096 0.8287 0.3090  -0.02
B: 0.8904 0.3287 0.8090  -0.02
Sc: 0.5000 0.5000 0.5000  -0.04
Sc: 0.0000 0.0000 0.0000  -0.04


No. 3
First-principles (GGA-PBE) data for crystalline SmTlIn2 at its relaxed geometry, as listed in Alexandria.

Computed properties:
E above lowest polymorph	260	meV/atom
SG	No. 166
calculated density	8.52	g cm⁻³

Cell lengths 4.9539, 4.9539, 6.0754 Å; angles 65.94, 65.94, 60.00 degrees
Sites, in units of the cell vectors:
In: 0.7613 0.7613 0.7160
In: 0.2387 0.2387 0.2840
Tl: 0.5000 0.5000 0.5000
Sm: 0.0000 0.0000 0.0000


No. 4
First-principles (GGA-PBE) data for crystalline BaAlPt2 at its relaxed geometry, as listed in Alexandria.

Computed properties:
SG	No. 44
calculated density	10.54	g cm⁻³
electronic total energy	-4.742	eV/atom

Cell lengths 6.1006, 6.1006, 6.1006 Å; angles 149.63, 129.86, 59.75 degrees
Sites, in units of the cell vectors:
Pt: 0.9682 0.9682 0.0000
Pt: 0.7316 0.2316 0.5000
Al: 0.5459 0.5459 0.0000
Ba: 0.2542 0.7542 0.5000


No. 5
First-principles (GGA-PBE) data for crystalline LiTlAs4 at its relaxed geometry, as listed in Alexandria.

Computed properties:
SG	No. 216
calculated density	6.33	g cm⁻³
electronic total energy	-3.784	eV/atom

Cell lengths 5.7432, 5.7432, 5.7432 Å; angles 60.00, 60.00, 60.00 degrees
Sites, in units of the cell vectors:
As: 0.3753 0.3753 0.3753
As: 0.8741 0.3753 0.3753
As: 0.3753 0.3753 0.8741
As: 0.3753 0.8741 0.3753
Tl: 0.0000 0.0000 0.0000
Li: 0.7500 0.7500 0.7500


No. 6
First-principles (GGA-PBE) data for crystalline Pa2CoPb at its relaxed geometry, as listed in Alexandria.

Computed properties:
E above lowest polymorph	33	meV/atom
SG	No. 160
calculated density	12.62	g cm⁻³

Cell lengths 3.5018, 3.5018, 9.2494 Å; angles 79.09, 79.09, 60.00 degrees
Sites, in units of the cell vectors:
Pa: 0.0626 0.0626 0.8123
Pa: 0.2706 0.2706 0.1882
Pb: 0.5009 0.5009 0.4973
Co: 0.6659 0.6659 0.0022


No. 7
First-principles (GGA-PBE) data for crystalline GeBF2 at its relaxed geometry, as listed in Alexandria.

Computed properties:
E above lowest polymorph	0	meV/atom
SG	No. 166
calculated density	2.83	g cm⁻³
E_form (uncorrected)	-0.817	eV per atom

Cell lengths 10.7882, 10.7882, 10.7882 Å; angles 14.79, 14.79, 14.79 degrees
Site moments in Bohr magnetons follow the coordinates.
Sites, in units of the cell vectors:
F: 0.0418 0.0418 0.0418  0.09
F: 0.9582 0.9582 0.9582  0.09
Ge: 0.5000 0.5000 0.5000  0.07
B: 0.0000 0.0000 0.0000  0.17


No. 8
First-principles (GGA-PBE) data for crystalline TlSiHg2 at its relaxed geometry, as listed in Alexandria.

Computed properties:
SG	No. 123
calculated density	10.86	g cm⁻³
E_form (uncorrected)	0.324	eV per atom

Cell lengths 3.3985, 3.3985, 8.3868 Å; angles 90.00, 90.00, 90.00 degrees
Sites, in units of the cell vectors:
Hg: 0.0000 0.0000 0.4583
Hg: 0.0000 0.0000 0.0417
Si: 0.5000 0.5000 0.2500
Tl: 0.5000 0.5000 0.7500


No. 9
First-principles (GGA-PBE) data for crystalline MgVCrSe2 at its relaxed geometry, as listed in Alexandria.

Computed properties:
SG	No. 123
calculated density	4.11	g cm⁻³
E_form (uncorrected)	0.405	eV per atom

Cell lengths 4.7860, 5.0324, 4.7860 Å; angles 90.00, 90.00, 90.00 degrees
Site moments in Bohr magnetons follow the coordinates.
Sites, in units of the cell vectors:
Se: 0.5000 0.0000 0.0000  0.09
Se: 0.0000 0.0000 0.5000  0.09
Cr: 0.5000 0.5000 0.5000  -4.23
V: 0.0000 0.0000 0.0000  -0.45
Mg: 0.0000 0.5000 0.0000  0.01


No. 10
First-principles (GGA-PBE) data for crystalline Sm4AlPt at its relaxed geometry, as listed in Alexandria.

Computed properties:
E above lowest polymorph	186	meV/atom
SG	No. 36
calculated density	7.50	g cm⁻³

Cell lengths 5.4340, 6.4736, 10.7206 Å; angles 90.00, 104.68, 90.00 degrees
Sites, in units of the cell vectors:
Al: 0.8412 0.8213 0.6824
Al: 0.1588 0.3213 0.3176
Sm: 0.3026 0.5769 0.6051
Sm: 0.8944 0.3152 0.7887
Sm: 0.7025 0.5643 0.4050
Sm: 0.2975 0.0643 0.5950
Sm: 0.5535 0.3290 0.1071
Sm: 0.1056 0.8152 0.2113
Sm: 0.4465 0.8290 0.8929
Sm: 0.6974 0.0769 0.3949
Pt: 0.4189 0.3267 0.8377
Pt: 0.5811 0.8267 0.1623